This record from Alexandria describes crystalline K2LiCd3Sb4 at its relaxed geometry. The functional is PBE-GGA.

```
data_K2LiCd3Sb4
_chemical_formula_sum 'K2 Li1 Cd3 Sb4'
_cell_length_a 4.9702
_cell_length_b 4.9702
_cell_length_c 12.1257
_cell_angle_alpha 90.00
_cell_angle_beta 90.00
_cell_angle_gamma 90.00
_space_group_name_H-M_alt 'P -4 m 2'
_space_group_IT_number 115
loop_
_space_group_symop_operation_xyz
'x,y,z'
'y,-x,-z'
'-x,-y,z'
'-y,x,-z'
'-x,y,z'
'-y,-x,-z'
'x,-y,z'
'y,x,-z'
loop_
_atom_site_label
_atom_site_type_symbol
_atom_site_fract_x
_atom_site_fract_y
_atom_site_fract_z
K1 K 0.0000 0.5000 0.2412
Li1 Li 0.5000 0.5000 0.0000
Cd1 Cd 0.0000 0.0000 0.0000
Cd2 Cd 0.0000 0.5000 0.6412
Sb1 Sb 0.0000 0.0000 0.5000
Sb2 Sb 0.0000 0.5000 0.8722
Sb3 Sb 0.5000 0.5000 0.5000
```

Results
The calculated density comes out at 5.042 g cm⁻³. The uncorrected formation energy comes out at -0.338 eV per atom. The calculation puts the size of the total moment at 0.000 μB/f.u.

=====

This record from Alexandria describes crystalline ZrIn2GeBr at its relaxed geometry. The functional is PBE-GGA.

```
data_ZrIn2GeBr
_chemical_formula_sum 'Zr1 In2 Ge1 Br1'
_cell_length_a 5.2737
_cell_length_b 5.2737
_cell_length_c 5.2116
_cell_angle_alpha 90.00
_cell_angle_beta 90.00
_cell_angle_gamma 90.00
_space_group_name_H-M_alt 'P 4/m m m'
_space_group_IT_number 123
_space_group_name_Hall '-P 4 2'
loop_
_atom_site_label
_atom_site_type_symbol
_atom_site_fract_x
_atom_site_fract_y
_atom_site_fract_z
Zr1 Zr 0.0000 0.0000 0.0000
In1 In 0.0000 0.5000 0.5000
Ge1 Ge 0.5000 0.5000 0.5000
Br1 Br 0.5000 0.5000 0.0000
```

Results
The calculated density comes out at 5.423 g cm⁻³. The uncorrected formation energy comes out at 0.681 eV per atom. The calculation puts the size of the total moment at 0.000 μB/f.u.

=====

This record from Alexandria describes crystalline MgMnRu at its relaxed geometry. The functional is PBE-GGA.

```
data_MgMnRu
_chemical_formula_sum 'Mg2 Mn2 Ru2'
_cell_length_a 2.9403
_cell_length_b 2.9403
_cell_length_c 10.0457
_cell_angle_alpha 90.00
_cell_angle_beta 90.00
_cell_angle_gamma 90.00
_space_group_name_H-M_alt 'I 4 m m'
_space_group_IT_number 107
_space_group_name_Hall 'I 4 -2'
loop_
_atom_site_label
_atom_site_type_symbol
_atom_site_fract_x
_atom_site_fract_y
_atom_site_fract_z
Mg1 Mg 0.0000 0.0000 0.0000
Mn1 Mn 0.0000 0.0000 0.6844
Ru1 Ru 0.0000 0.0000 0.3122
```

Results
The calculated density comes out at 6.895 g cm⁻³. The calculation puts the size of the total moment at 1.234 μB/f.u. The formation energy is 103 meV/atom. Its polymorph energy (0 for the lowest one) is 0.000 eV per atom.

=====

This record from Alexandria describes crystalline Cd2AuSe at its relaxed geometry. The functional is PBE-GGA.

```
data_Cd2AuSe
_chemical_formula_sum 'Cd2 Au1 Se1'
_cell_length_a 2.9119
_cell_length_b 3.8972
_cell_length_c 7.7667
_cell_angle_alpha 90.00
_cell_angle_beta 90.00
_cell_angle_gamma 90.00
_space_group_name_H-M_alt 'P m m m'
_space_group_IT_number 47
loop_
_space_group_symop_operation_xyz
'x,y,z'
'-x,-y,-z'
'-x,-y,z'
'x,y,-z'
'x,-y,-z'
'-x,y,z'
'-x,y,-z'
'x,-y,z'
loop_
_atom_site_label
_atom_site_type_symbol
_atom_site_fract_x
_atom_site_fract_y
_atom_site_fract_z
Cd1 Cd 0.0000 0.0000 0.2265
Au1 Au 0.5000 0.5000 0.0000
Se1 Se 0.0000 0.5000 0.5000
```

Results
The calculated density comes out at 9.434 g cm⁻³. The uncorrected formation energy comes out at -0.133 eV per atom. The calculation puts the size of the total moment at 0.000 μB/f.u.